# 1
Compound: SrTeCl2
Source: Alexandria
Functional: GGA-PBE
Structure: optimized geometry

CIF file:
```
data_SrTeCl2
_chemical_formula_sum 'Sr1 Te1 Cl2'
_space_group_name_H-M_alt 'P 4 m m'
_space_group_IT_number 99
_cell_length_a 3.9624
_cell_length_b 3.9624
_cell_length_c 7.3043
_cell_angle_alpha 90.00
_cell_angle_beta 90.00
_cell_angle_gamma 90.00
loop_
_space_group_symop_operation_xyz
'x,y,z'
'-y,x,z'
'-x,-y,z'
'y,-x,z'
'-x,y,z'
'y,x,z'
'x,-y,z'
'-y,-x,z'
loop_
_atom_site_label
_atom_site_type_symbol
_atom_site_fract_x
_atom_site_fract_y
_atom_site_fract_z
Sr1 Sr 0.0000 0.0000 0.0000
Te1 Te 0.5000 0.5000 0.3596
Cl1 Cl 0.0000 0.0000 0.5957
Cl2 Cl 0.5000 0.5000 0.8836
```

Summary:
ΔE to the lowest computed polymorph (meV per atom): 312.8
DFT total energy (eV/cell): -13.06
Uncorrected formation energy (eV/atom): -1.136

=====

# 2
Compound: SrTe3Cl
Source: Alexandria
Functional: GGA-PBE
Structure: optimized geometry

CIF file:
```
data_SrTe3Cl
_chemical_formula_sum 'Sr1 Te3 Cl1'
_space_group_name_H-M_alt 'P m -3 m'
_space_group_IT_number 221
_space_group_name_Hall '-P 4 2 3'
_cell_length_a 6.4267
_cell_length_b 6.4267
_cell_length_c 6.4267
_cell_angle_alpha 90.00
_cell_angle_beta 90.00
_cell_angle_gamma 90.00
loop_
_atom_site_label
_atom_site_type_symbol
_atom_site_fract_x
_atom_site_fract_y
_atom_site_fract_z
Sr1 Sr 0.0000 0.0000 0.0000
Te1 Te 0.0000 0.0000 0.5000
Cl1 Cl 0.5000 0.5000 0.5000
```

Summary:
ΔE to the lowest computed polymorph (meV per atom): 448.8
DFT total energy (eV/cell): -11.81
Uncorrected formation energy (eV/atom): 0.229

=====

# 3
Compound: SrTeCl2
Source: Alexandria
Functional: GGA-PBE
Structure: optimized geometry

CIF file:
```
data_SrTeCl2
_chemical_formula_sum 'Sr2 Te2 Cl4'
_space_group_name_H-M_alt 'I m m m'
_space_group_IT_number 71
_space_group_name_Hall '-I 2 2'
_cell_length_a 3.7587
_cell_length_b 6.6630
_cell_length_c 9.8971
_cell_angle_alpha 90.00
_cell_angle_beta 90.00
_cell_angle_gamma 90.00
loop_
_atom_site_label
_atom_site_type_symbol
_atom_site_fract_x
_atom_site_fract_y
_atom_site_fract_z
Sr1 Sr 0.0000 0.0000 0.0000
Te1 Te 0.0000 0.0000 0.5000
Cl1 Cl 0.0000 0.5000 0.2833
```

Summary:
ΔE to the lowest computed polymorph (meV per atom): 224.0
DFT total energy (eV/cell): -26.84
Uncorrected formation energy (eV/atom): -1.225

=====

# 4
Compound: SrTeCl2
Source: Alexandria
Functional: GGA-PBE
Structure: optimized geometry

CIF file:
```
data_SrTeCl2
_chemical_formula_sum 'Sr3 Te3 Cl6'
_space_group_name_H-M_alt 'R -3 m'
_space_group_IT_number 166
_space_group_name_Hall '-R 3 2"'
_cell_length_a 4.0491
_cell_length_b 4.0491
_cell_length_c 36.7727
_cell_angle_alpha 90.00
_cell_angle_beta 90.00
_cell_angle_gamma 120.00
loop_
_atom_site_label
_atom_site_type_symbol
_atom_site_fract_x
_atom_site_fract_y
_atom_site_fract_z
Sr1 Sr 0.0000 0.0000 0.0000
Te1 Te 0.0000 0.0000 0.5000
Cl1 Cl 0.0000 0.0000 0.3776
```

Summary:
ΔE to the lowest computed polymorph (meV per atom): 76.8
DFT total energy (eV/cell): -42.02
Uncorrected formation energy (eV/atom): -1.372

=====

# 5
Compound: Sr4TeCl6
Source: Alexandria
Functional: GGA-PBE
Structure: optimized geometry

CIF file:
```
data_Sr4TeCl6
_chemical_formula_sum 'Sr8 Te2 Cl12'
_space_group_name_H-M_alt 'P 42/n m c'
_space_group_IT_number 137
_cell_length_a 10.1799
_cell_length_b 10.1799
_cell_length_c 7.1415
_cell_angle_alpha 90.00
_cell_angle_beta 90.00
_cell_angle_gamma 90.00
loop_
_space_group_symop_operation_xyz
'x,y,z'
'-x,-y,-z'
'-y+1/2,x,z+1/2'
'y+1/2,-x,-z+1/2'
'-x+1/2,-y+1/2,z'
'x+1/2,y+1/2,-z'
'y,-x+1/2,z+1/2'
'-y,x+1/2,-z+1/2'
'x+1/2,-y,-z'
'-x+1/2,y,z'
'-y,-x,-z+1/2'
'y,x,z+1/2'
'-x,y+1/2,-z'
'x,-y+1/2,z'
'y+1/2,x+1/2,-z+1/2'
'-y+1/2,-x+1/2,z+1/2'
loop_
_atom_site_label
_atom_site_type_symbol
_atom_site_fract_x
_atom_site_fract_y
_atom_site_fract_z
Sr1 Sr 0.0158 0.2500 0.0211
Te1 Te 0.2500 0.7500 0.7500
Cl1 Cl 0.0340 0.5340 0.2500
Cl2 Cl 0.2500 0.2500 0.2692
```

Summary:
DFT total energy (eV/cell): -92.42
Uncorrected formation energy (eV/atom): -2.296

=====

# 6
Compound: SrTeCl
Source: Alexandria
Functional: GGA-PBE
Structure: optimized geometry

CIF file:
```
data_SrTeCl
_chemical_formula_sum 'Sr4 Te4 Cl4'
_space_group_name_H-M_alt 'F m m 2'
_space_group_IT_number 42
_space_group_name_Hall 'F 2 -2'
_cell_length_a 5.2136
_cell_length_b 5.2229
_cell_length_c 15.1460
_cell_angle_alpha 90.00
_cell_angle_beta 90.00
_cell_angle_gamma 90.00
loop_
_atom_site_label
_atom_site_type_symbol
_atom_site_fract_x
_atom_site_fract_y
_atom_site_fract_z
Sr1 Sr 0.0000 0.0000 0.0000
Te1 Te 0.0000 0.0000 0.3456
Cl1 Cl 0.0000 0.0000 0.5967
```

Summary:
DFT total energy (eV/cell): -44.54
Uncorrected formation energy (eV/atom): -1.489

=====

# 7
Compound: SrTeCl2
Source: Alexandria
Functional: GGA-PBE
Structure: optimized geometry

CIF file:
```
data_SrTeCl2
_chemical_formula_sum 'Sr1 Te1 Cl2'
_space_group_name_H-M_alt 'P 4/m m m'
_space_group_IT_number 123
_space_group_name_Hall '-P 4 2'
_cell_length_a 3.4919
_cell_length_b 3.4919
_cell_length_c 11.9536
_cell_angle_alpha 90.00
_cell_angle_beta 90.00
_cell_angle_gamma 90.00
loop_
_atom_site_label
_atom_site_type_symbol
_atom_site_fract_x
_atom_site_fract_y
_atom_site_fract_z
Sr1 Sr 0.0000 0.0000 0.0000
Te1 Te 0.0000 0.0000 0.5000
Cl1 Cl 0.5000 0.5000 0.1379
```

Summary:
ΔE to the lowest computed polymorph (meV per atom): 0.0
DFT total energy (eV/cell): -14.31
Uncorrected formation energy (eV/atom): -1.449

=====

# 8
Compound: SrTeCl2
Source: Alexandria
Functional: GGA-PBE
Structure: optimized geometry

CIF file:
```
data_SrTeCl2
_chemical_formula_sum 'Sr1 Te1 Cl2'
_space_group_name_H-M_alt 'P 4/m m m'
_space_group_IT_number 123
_space_group_name_Hall '-P 4 2'
_cell_length_a 4.9008
_cell_length_b 4.9008
_cell_length_c 4.5217
_cell_angle_alpha 90.00
_cell_angle_beta 90.00
_cell_angle_gamma 90.00
loop_
_atom_site_label
_atom_site_type_symbol
_atom_site_fract_x
_atom_site_fract_y
_atom_site_fract_z
Sr1 Sr 0.0000 0.0000 0.0000
Te1 Te 0.5000 0.5000 0.0000
Cl1 Cl 0.0000 0.5000 0.5000
```

Summary:
ΔE to the lowest computed polymorph (meV per atom): 298.2
DFT total energy (eV/cell): -13.12
Uncorrected formation energy (eV/atom): -1.151